1.
Density functional theory data (GGA-PBEsol) for a relaxed structure of MgSc2Cd.

Output
The energy above the most stable polymorph in this dataset is 68 meV per atom. The volume is 88.7 Å³ per cell. The space group is Pm.

abc: 3.209 4.779 5.901
angles: 90.00 101.39 90.00
Fractional coordinates of all 4 atoms:
Sc: 0.034 0.000 0.974
Sc: 0.716 0.500 0.280
Mg: 0.421 0.500 0.761
Cd: 0.330 0.000 0.485


2.
Density functional theory data (GGA-PBEsol) for a relaxed structure of MgCd2Se.

Output
The formation energy without anion corrections is -0.3004 eV/atom. The volume is 89.7 Å³ per cell. The space group is P4mm.

abc: 3.726 3.726 6.462
angles: 90.00 90.00 90.00
Fractional coordinates of all 4 atoms:
Cd: 0.000 0.000 0.054
Cd: 0.500 0.500 0.224
Mg: 0.000 0.000 0.561
Se: 0.500 0.500 0.661


3.
Density functional theory data (GGA-PBEsol) for a relaxed structure of MgCdSe2.

Output
The formation energy without anion corrections is -0.8871 eV/atom. The volume is 217.7 Å³ per cell. The space group is I-42d.

abc: 6.009 6.009 7.375
angles: 114.04 114.04 90.00
Fractional coordinates of all 8 atoms:
Mg: 0.750 0.250 0.500
Mg: 0.500 0.500 0.000
Se: 0.385 0.875 0.250
Se: 0.865 0.375 0.250
Se: 0.125 0.135 0.750
Se: 0.625 0.615 0.750
Cd: 0.250 0.750 0.500
Cd: 0.000 0.000 0.000


4.
Density functional theory data (GGA-PBEsol) for a relaxed structure of MgCd2Se.

Output
The formation energy without anion corrections is -0.3115 eV/atom. The volume is 93.3 Å³ per cell. The space group is R3m.

abc: 3.758 3.758 7.933
angles: 76.30 76.30 60.00
Fractional coordinates of all 4 atoms:
Cd: 0.992 0.992 0.023
Cd: 0.750 0.750 0.751
Mg: 0.514 0.514 0.459
Se: 0.244 0.244 0.267


5.
Density functional theory data (GGA-PBEsol) for a relaxed structure of Mg4CdSe.

Output
The formation energy without anion corrections is 0.0438 eV/atom. The volume is 134.3 Å³ per cell. The space group is F-43m.

abc: 5.749 5.749 5.749
angles: 60.00 60.00 60.00
Fractional coordinates of all 6 atoms:
Cd: 0.000 0.000 0.000
Mg: 0.375 0.375 0.375
Mg: 0.375 0.375 0.874
Mg: 0.874 0.375 0.375
Mg: 0.375 0.874 0.375
Se: 0.750 0.750 0.750


6.
Density functional theory data (GGA-PBEsol) for a relaxed structure of MgCd2Se.

Output
The formation energy without anion corrections is -0.1408 eV/atom. The volume is 87.0 Å³ per cell. The space group is P4/mmm.

abc: 3.937 3.937 5.612
angles: 90.00 90.00 90.00
Fractional coordinates of all 4 atoms:
Cd: 0.000 0.000 0.751
Cd: 0.000 0.000 0.249
Mg: 0.500 0.500 0.000
Se: 0.500 0.500 0.500


> Among the records above, which one has the lowest volume?

number 6


> Which of these has the highest volume?

MgCdSe2


> Among the records above, which one has the lowest volume?

number 6


> Which formula does entry 6 have?

MgCd2Se